A:
The following is a DFT calculation (GGA-PBEsol) of a relaxed structure of GaBiPS2.

abc: 4.683 4.655 4.655
angles: 90.00 90.00 90.00
Element x y z (fractional)
S 0.000 0.000 0.500
S 0.000 0.500 0.000
P 0.500 0.000 0.000
Bi 0.500 0.500 0.500
Ga 0.000 0.000 0.000

Values from the calculation:
- M_tot (μB/atom) = 0.000
- calculated volume (Å³/cell) = 101.46

***

B:
The following is a DFT calculation (GGA-PBEsol) of a relaxed structure of GaBiPS2.

abc: 5.226 5.226 5.226
angles: 90.00 90.00 90.00
Site moments in Bohr magnetons follow the coordinates.
Element x y z (fractional)
P 0.000 0.000 0.500  0.44
S 0.000 0.500 0.000  0.13
S 0.500 0.000 0.000  0.13
Bi 0.000 0.000 0.000  0.01
Ga 0.500 0.500 0.500  0.02

Values from the calculation:
- M_tot (μB/atom) = 0.291
- calculated volume (Å³/cell) = 142.70

***

Which structure is most stable? A, by 0.509 eV/atom over the runner-up.

***

A:
The following is a DFT calculation (GGA-PBEsol) of a relaxed structure of GaBi3Pt.

abc: 5.408 5.408 5.408
angles: 90.00 90.00 90.00
Element x y z (fractional)
Pt 0.000 0.000 0.000
Bi 0.000 0.000 0.500
Bi 0.500 0.000 0.000
Bi 0.000 0.500 0.000
Ga 0.500 0.500 0.500

Values from the calculation:
- M_tot (μB/atom) = 0.000
- calculated volume (Å³/cell) = 158.20

***

B:
The following is a DFT calculation (GGA-PBEsol) of a relaxed structure of GaBi3Pt.

abc: 5.231 5.231 5.231
angles: 90.00 90.00 90.00
Element x y z (fractional)
Bi 0.500 0.000 0.000
Bi 0.000 0.000 0.500
Bi 0.000 0.500 0.000
Ga 0.000 0.000 0.000
Pt 0.500 0.500 0.500

Values from the calculation:
- M_tot (μB/atom) = 0.000
- calculated volume (Å³/cell) = 143.11

***

Which structure is most stable? A, by 0.501 eV/atom over the runner-up.

***

A:
The following is a DFT calculation (GGA-PBEsol) of a relaxed structure of Ga2SnBi.

abc: 6.228 6.228 7.604
angles: 114.17 114.17 90.00
Element x y z (fractional)
Bi 0.000 0.000 0.000
Bi 0.250 0.750 0.500
Ga 0.861 0.375 0.250
Ga 0.125 0.139 0.750
Ga 0.625 0.611 0.750
Ga 0.389 0.875 0.250
Sn 0.750 0.250 0.500
Sn 0.500 0.500 0.000

Values from the calculation:
- M_tot (μB/atom) = 0.000
- calculated volume (Å³/cell) = 240.44

***

B:
The following is a DFT calculation (GGA-PBEsol) of a relaxed structure of Ga2SnBi.

abc: 5.087 5.087 5.087
angles: 60.00 60.00 60.00
Element x y z (fractional)
Ga 0.250 0.250 0.250
Ga 0.750 0.750 0.750
Sn 0.000 0.000 0.000
Bi 0.500 0.500 0.500

Values from the calculation:
- M_tot (μB/atom) = 0.000
- calculated volume (Å³/cell) = 93.11

***

Which structure is most stable? B, by 0.039 eV/atom over the runner-up.